No. 1
# LaHg (PBE, optimized geometry)
# E: -6.2 eV for the cell shown
data_LaHg
_chemical_formula_sum 'La1 Hg1'
_symmetry_space_group_name_H-M 'P m -3 m'
_symmetry_Int_Tables_number 221
_symmetry_space_group_name_Hall '-P 4 2 3'
_cell_length_a 3.911
_cell_length_b 3.911
_cell_length_c 3.911
_cell_angle_alpha 90.00
_cell_angle_beta 90.00
_cell_angle_gamma 90.00
loop_
_atom_site_label
_atom_site_fract_x
_atom_site_fract_y
_atom_site_fract_z
_atom_site_occupancy
La1 0.000 0.000 0.000 1
Hg1 0.500 0.500 0.500 1


No. 2
# La3Hg (PBE, optimized geometry)
# E: -63.7 eV for the cell shown
data_La3Hg
_chemical_formula_sum 'La12 Hg4'
_symmetry_space_group_name_H-M 'C m c m'
_symmetry_Int_Tables_number 63
_symmetry_space_group_name_Hall '-C 2c 2'
_cell_length_a 7.816
_cell_length_b 11.578
_cell_length_c 5.693
_cell_angle_alpha 90.00
_cell_angle_beta 90.00
_cell_angle_gamma 90.00
loop_
_atom_site_label
_atom_site_fract_x
_atom_site_fract_y
_atom_site_fract_z
_atom_site_occupancy
La1 0.000 0.088 0.250 1
La2 0.231 0.370 0.250 1
Hg1 0.000 0.372 0.750 1


No. 3
# LaHg7 (PBE, optimized geometry)
# E: -17.3 eV for the cell shown
data_LaHg7
_chemical_formula_sum 'La2 Hg14'
_symmetry_space_group_name_H-M 'I 4/m m m'
_symmetry_Int_Tables_number 139
_symmetry_space_group_name_Hall '-I 4 2'
_cell_length_a 4.777
_cell_length_b 4.777
_cell_length_c 18.452
_cell_angle_alpha 90.00
_cell_angle_beta 90.00
_cell_angle_gamma 90.00
loop_
_atom_site_label
_atom_site_fract_x
_atom_site_fract_y
_atom_site_fract_z
_atom_site_occupancy
La1 0.000 0.000 0.000 1
Hg1 0.000 0.000 0.250 1
Hg2 0.000 0.000 0.500 1
Hg3 0.000 0.500 0.128 1


No. 4
# La3Hg (PBE, optimized geometry)
# E: -31.7 eV for the cell shown
data_La3Hg
_chemical_formula_sum 'La6 Hg2'
_symmetry_space_group_name_H-M 'P 63/m m c'
_symmetry_Int_Tables_number 194
_symmetry_space_group_name_Hall '-P 6c 2c'
_cell_length_a 7.2287
_cell_length_b 7.2287
_cell_length_c 5.6044
_cell_angle_alpha 90.00
_cell_angle_beta 90.00
_cell_angle_gamma 120.00
loop_
_atom_site_label
_atom_site_fract_x
_atom_site_fract_y
_atom_site_fract_z
_atom_site_occupancy
La1 0.1786 0.3572 0.2500 1
Hg1 0.3333 0.6667 0.7500 1


No. 5
# La3Hg (PBE, optimized geometry)
# E: -31.8 eV for the cell shown
data_La3Hg
_chemical_formula_sum 'La6 Hg2'
_symmetry_space_group_name_H-M 'P m m n'
_symmetry_Int_Tables_number 59
_cell_length_a 5.826
_cell_length_b 6.945
_cell_length_c 6.269
_cell_angle_alpha 90.00
_cell_angle_beta 90.00
_cell_angle_gamma 90.00
loop_
_symmetry_equiv_pos_as_xyz
'x,y,z'
'-x,-y,-z'
'-x+1/2,-y+1/2,z'
'x+1/2,y+1/2,-z'
'x+1/2,-y,-z'
'-x+1/2,y,z'
'-x,y+1/2,-z'
'x,-y+1/2,z'
loop_
_atom_site_label
_atom_site_fract_x
_atom_site_fract_y
_atom_site_fract_z
_atom_site_occupancy
La1 0.250 0.000 0.119 1
La2 0.250 0.250 0.596 1
Hg1 0.250 0.750 0.658 1


No. 6
# La3Hg (PBE, optimized geometry)
# E: -63.8 eV for the cell shown
data_La3Hg
_chemical_formula_sum 'La12 Hg4'
_symmetry_space_group_name_H-M 'P n m a'
_symmetry_Int_Tables_number 62
_symmetry_space_group_name_Hall '-P 2ac 2n'
_cell_length_a 6.802
_cell_length_b 11.248
_cell_length_c 6.895
_cell_angle_alpha 90.00
_cell_angle_beta 90.00
_cell_angle_gamma 90.00
loop_
_atom_site_label
_atom_site_fract_x
_atom_site_fract_y
_atom_site_fract_z
_atom_site_occupancy
La1 0.004 0.250 0.146 1
La2 0.218 0.538 0.398 1
Hg1 0.106 0.250 0.626 1


No. 7
# LaHg3 (PBE, optimized geometry)
# E: -7.0 eV for the cell shown
data_LaHg3
_chemical_formula_sum 'La1 Hg3'
_symmetry_space_group_name_H-M 'P 4/m m m'
_symmetry_Int_Tables_number 123
_symmetry_space_group_name_Hall '-P 4 2'
_cell_length_a 3.898
_cell_length_b 3.898
_cell_length_c 7.121
_cell_angle_alpha 90.00
_cell_angle_beta 90.00
_cell_angle_gamma 90.00
loop_
_atom_site_label
_atom_site_fract_x
_atom_site_fract_y
_atom_site_fract_z
_atom_site_occupancy
La1 0.000 0.000 0.000 1
Hg1 0.000 0.000 0.500 1
Hg2 0.500 0.500 0.265 1


No. 8
# LiLa2Hg2 (PBE, optimized geometry)
# E: -56.8 eV for the cell shown
data_LiLa2Hg2
_chemical_formula_sum 'Li4 La8 Hg8'
_symmetry_space_group_name_H-M 'P 1 21/c 1'
_symmetry_Int_Tables_number 14
_symmetry_space_group_name_Hall '-P 2ybc'
_cell_length_a 8.731
_cell_length_b 9.066
_cell_length_c 7.239
_cell_angle_alpha 90.00
_cell_angle_beta 99.87
_cell_angle_gamma 90.00
loop_
_atom_site_label
_atom_site_fract_x
_atom_site_fract_y
_atom_site_fract_z
_atom_site_occupancy
Li1 0.101 0.034 0.156 1
La1 0.234 0.114 0.660 1
La2 0.363 0.711 0.466 1
Hg1 0.048 0.732 0.144 1
Hg2 0.411 0.050 0.284 1


No. 9
# LiLa6Hg5 (PBE, optimized geometry)
# E: -76.0 eV for the cell shown
data_LiLa6Hg5
_chemical_formula_sum 'Li2 La12 Hg10'
_symmetry_space_group_name_H-M 'I m m m'
_symmetry_Int_Tables_number 71
_symmetry_space_group_name_Hall '-I 2 2'
_cell_length_a 5.508
_cell_length_b 7.824
_cell_length_c 16.604
_cell_angle_alpha 90.00
_cell_angle_beta 90.00
_cell_angle_gamma 90.00
loop_
_atom_site_label
_atom_site_fract_x
_atom_site_fract_y
_atom_site_fract_z
_atom_site_occupancy
Li1 0.000 0.000 0.000 1
La1 0.000 0.243 0.500 1
La2 0.000 0.252 0.170 1
Hg1 0.000 0.000 0.334 1
Hg2 0.000 0.500 0.000 1
Hg3 0.000 0.500 0.344 1


No. 10
# LiLa2Hg2 (PBE, optimized geometry)
# E: -28.5 eV for the cell shown
data_LiLa2Hg2
_chemical_formula_sum 'Li2 La4 Hg4'
_symmetry_space_group_name_H-M 'P 4/m b m'
_symmetry_Int_Tables_number 127
_symmetry_space_group_name_Hall '-P 4 2ab'
_cell_length_a 7.716
_cell_length_b 7.716
_cell_length_c 4.820
_cell_angle_alpha 90.00
_cell_angle_beta 90.00
_cell_angle_gamma 90.00
loop_
_atom_site_label
_atom_site_fract_x
_atom_site_fract_y
_atom_site_fract_z
_atom_site_occupancy
Li1 0.000 0.000 0.000 1
La1 0.148 0.352 0.500 1
Hg1 0.150 0.650 0.000 1


No. 11
# Li5LaHg7 (PBE, optimized geometry)
# E: -41.7 eV for the cell shown
data_Li5LaHg7
_chemical_formula_sum 'Li10 La2 Hg14'
_symmetry_space_group_name_H-M 'I m m 2'
_symmetry_Int_Tables_number 44
_symmetry_space_group_name_Hall 'I 2 -2'
_cell_length_a 5.483
_cell_length_b 10.061
_cell_length_c 9.828
_cell_angle_alpha 90.00
_cell_angle_beta 90.00
_cell_angle_gamma 90.00
loop_
_atom_site_label
_atom_site_fract_x
_atom_site_fract_y
_atom_site_fract_z
_atom_site_occupancy
Li1 0.000 0.000 0.000 1
Li2 0.245 0.246 0.512 1
La1 0.000 0.500 0.250 1
Hg1 0.000 0.000 0.532 1
Hg2 0.000 0.161 0.248 1
Hg3 0.000 0.189 0.779 1
Hg4 0.000 0.500 0.586 1
Hg5 0.000 0.500 0.901 1


No. 12
# LiLa3Hg2 (PBE, optimized geometry)
# E: -19.1 eV for the cell shown
data_LiLa3Hg2
_chemical_formula_sum 'Li1 La3 Hg2'
_symmetry_space_group_name_H-M 'P 4/m m m'
_symmetry_Int_Tables_number 123
_symmetry_space_group_name_Hall '-P 4 2'
_cell_length_a 3.969
_cell_length_b 3.969
_cell_length_c 11.353
_cell_angle_alpha 90.00
_cell_angle_beta 90.00
_cell_angle_gamma 90.00
loop_
_atom_site_label
_atom_site_fract_x
_atom_site_fract_y
_atom_site_fract_z
_atom_site_occupancy
Li1 0.000 0.000 0.000 1
La1 0.500 0.500 0.171 1
La2 0.500 0.500 0.500 1
Hg1 0.000 0.000 0.327 1


No. 13
# LiLa2Hg4 (PBE, optimized geometry)
# E: -46.6 eV for the cell shown
data_LiLa2Hg4
_chemical_formula_sum 'Li3 La6 Hg12'
_symmetry_space_group_name_H-M 'R -3 m'
_symmetry_Int_Tables_number 166
_symmetry_space_group_name_Hall '-R 3 2"'
_cell_length_a 4.9650
_cell_length_b 4.9650
_cell_length_c 28.1365
_cell_angle_alpha 90.00
_cell_angle_beta 90.00
_cell_angle_gamma 120.00
loop_
_atom_site_label
_atom_site_fract_x
_atom_site_fract_y
_atom_site_fract_z
_atom_site_occupancy
Li1 0.0000 0.0000 0.0000 1
La1 0.0000 0.0000 0.2504 1
Hg1 0.0000 0.0000 0.1351 1
Hg2 0.0000 0.0000 0.3640 1


No. 14
# LiLa8Hg2 (PBE, optimized geometry)
# E: -87.1 eV for the cell shown
data_LiLa8Hg2
_chemical_formula_sum 'Li2 La16 Hg4'
_symmetry_space_group_name_H-M 'C 1 2/m 1'
_symmetry_Int_Tables_number 12
_symmetry_space_group_name_Hall '-C 2y'
_cell_length_a 19.163
_cell_length_b 5.367
_cell_length_c 7.359
_cell_angle_alpha 90.00
_cell_angle_beta 107.38
_cell_angle_gamma 90.00
loop_
_atom_site_label
_atom_site_fract_x
_atom_site_fract_y
_atom_site_fract_z
_atom_site_occupancy
Li1 0.000 0.000 0.000 1
La1 0.019 0.500 0.765 1
La2 0.087 0.000 0.468 1
La3 0.166 0.000 0.981 1
La4 0.196 0.500 0.304 1
Hg1 0.178 0.500 0.717 1


No. 15
# Li2LaHg (PBE, optimized geometry)
# E: -9.3 eV for the cell shown
data_Li2LaHg
_chemical_formula_sum 'Li2 La1 Hg1'
_symmetry_space_group_name_H-M 'P 4/m m m'
_symmetry_Int_Tables_number 123
_symmetry_space_group_name_Hall '-P 4 2'
_cell_length_a 4.497
_cell_length_b 4.497
_cell_length_c 5.255
_cell_angle_alpha 90.00
_cell_angle_beta 90.00
_cell_angle_gamma 90.00
loop_
_atom_site_label
_atom_site_fract_x
_atom_site_fract_y
_atom_site_fract_z
_atom_site_occupancy
Li1 0.000 0.500 0.000 1
La1 0.000 0.000 0.500 1
Hg1 0.500 0.500 0.500 1


No. 16
# LiLaHg2 (PBE, optimized geometry)
# E: -9.1 eV for the cell shown
data_LiLaHg2
_chemical_formula_sum 'Li1 La1 Hg2'
_symmetry_space_group_name_H-M 'P 1 2/m 1'
_symmetry_Int_Tables_number 10
_symmetry_space_group_name_Hall '-P 2y'
_cell_length_a 3.606
_cell_length_b 3.535
_cell_length_c 7.555
_cell_angle_alpha 90.00
_cell_angle_beta 90.11
_cell_angle_gamma 90.00
loop_
_atom_site_label
_atom_site_fract_x
_atom_site_fract_y
_atom_site_fract_z
_atom_site_occupancy
Li1 0.000 0.000 0.000 1
La1 0.000 0.000 0.500 1
Hg1 0.499 0.500 0.795 1


No. 17
# Li4La9Hg11 (PBE, optimized geometry)
# E: -129.6 eV for the cell shown
data_Li4La9Hg11
_chemical_formula_sum 'Li8 La18 Hg22'
_symmetry_space_group_name_H-M 'C m m m'
_symmetry_Int_Tables_number 65
_symmetry_space_group_name_Hall '-C 2 2'
_cell_length_a 15.476
_cell_length_b 22.744
_cell_length_c 3.586
_cell_angle_alpha 90.00
_cell_angle_beta 90.00
_cell_angle_gamma 90.00
loop_
_atom_site_label
_atom_site_fract_x
_atom_site_fract_y
_atom_site_fract_z
_atom_site_occupancy
Li1 0.143 0.103 0.000 1
La1 0.000 0.000 0.000 1
La2 0.107 0.249 0.000 1
La3 0.147 0.428 0.000 1
Hg1 0.000 0.136 0.500 1
Hg2 0.000 0.351 0.500 1
Hg3 0.000 0.500 0.500 1
Hg4 0.191 0.000 0.500 1
Hg5 0.248 0.326 0.500 1


No. 18
# Li2LaHg (PBE, optimized geometry)
# E: -9.2 eV for the cell shown
data_Li2LaHg
_chemical_formula_sum 'Li2 La1 Hg1'
_symmetry_space_group_name_H-M 'P 4/m m m'
_symmetry_Int_Tables_number 123
_symmetry_space_group_name_Hall '-P 4 2'
_cell_length_a 5.121
_cell_length_b 5.121
_cell_length_c 3.562
_cell_angle_alpha 90.00
_cell_angle_beta 90.00
_cell_angle_gamma 90.00
loop_
_atom_site_label
_atom_site_fract_x
_atom_site_fract_y
_atom_site_fract_z
_atom_site_occupancy
Li1 0.000 0.500 0.000 1
La1 0.000 0.000 0.500 1
Hg1 0.500 0.500 0.500 1


No. 19
# LiLa2Hg2 (PBE, optimized geometry)
# E: -27.0 eV for the cell shown
data_LiLa2Hg2
_chemical_formula_sum 'Li2 La4 Hg4'
_symmetry_space_group_name_H-M 'P 4/m b m'
_symmetry_Int_Tables_number 127
_symmetry_space_group_name_Hall '-P 4 2ab'
_cell_length_a 9.325
_cell_length_b 9.325
_cell_length_c 3.488
_cell_angle_alpha 90.00
_cell_angle_beta 90.00
_cell_angle_gamma 90.00
loop_
_atom_site_label
_atom_site_fract_x
_atom_site_fract_y
_atom_site_fract_z
_atom_site_occupancy
Li1 0.000 0.000 0.000 1
La1 0.165 0.335 0.000 1
Hg1 0.130 0.630 0.500 1


No. 20
# Li2LaHg (PBE, optimized geometry)
# E: -19.4 eV for the cell shown
data_Li2LaHg
_chemical_formula_sum 'Li4 La2 Hg2'
_symmetry_space_group_name_H-M 'I m m m'
_symmetry_Int_Tables_number 71
_symmetry_space_group_name_Hall '-I 2 2'
_cell_length_a 3.551
_cell_length_b 5.545
_cell_length_c 10.313
_cell_angle_alpha 90.00
_cell_angle_beta 90.00
_cell_angle_gamma 90.00
loop_
_atom_site_label
_atom_site_fract_x
_atom_site_fract_y
_atom_site_fract_z
_atom_site_occupancy
Li1 0.000 0.000 0.211 1
La1 0.000 0.500 0.000 1
Hg1 0.000 0.500 0.500 1


No. 21
# Li4La3Hg4 (PBE, optimized geometry)
# E: -27.5 eV for the cell shown
data_Li4La3Hg4
_chemical_formula_sum 'Li4 La3 Hg4'
_symmetry_space_group_name_H-M 'P -1'
_symmetry_Int_Tables_number 2
_symmetry_space_group_name_Hall '-P 1'
_cell_length_a 3.594
_cell_length_b 4.857
_cell_length_c 15.847
_cell_angle_alpha 81.25
_cell_angle_beta 83.49
_cell_angle_gamma 89.96
loop_
_atom_site_label
_atom_site_fract_x
_atom_site_fract_y
_atom_site_fract_z
_atom_site_occupancy
Li1 0.095 0.093 0.312 1
Li2 0.244 0.744 0.012 1
La1 0.356 0.357 0.787 1
La2 0.500 0.000 0.500 1
Hg1 0.052 0.551 0.397 1
Hg2 0.187 0.186 0.126 1


No. 22
# Li2LaHg (PBE, optimized geometry)
# E: -9.6 eV for the cell shown
data_Li2LaHg
_chemical_formula_sum 'Li2 La1 Hg1'
_symmetry_space_group_name_H-M 'P 4/m m m'
_symmetry_Int_Tables_number 123
_symmetry_space_group_name_Hall '-P 4 2'
_cell_length_a 3.571
_cell_length_b 3.571
_cell_length_c 7.347
_cell_angle_alpha 90.00
_cell_angle_beta 90.00
_cell_angle_gamma 90.00
loop_
_atom_site_label
_atom_site_fract_x
_atom_site_fract_y
_atom_site_fract_z
_atom_site_occupancy
Li1 0.000 0.000 0.184 1
La1 0.500 0.500 0.500 1
Hg1 0.500 0.500 0.000 1


No. 23
# LiLaHg2 (PBE, optimized geometry)
# E: -17.8 eV for the cell shown
data_LiLaHg2
_chemical_formula_sum 'Li2 La2 Hg4'
_symmetry_space_group_name_H-M 'C 1 2/m 1'
_symmetry_Int_Tables_number 12
_symmetry_space_group_name_Hall '-C 2y'
_cell_length_a 7.582
_cell_length_b 7.572
_cell_length_c 3.679
_cell_angle_alpha 90.00
_cell_angle_beta 90.09
_cell_angle_gamma 90.00
loop_
_atom_site_label
_atom_site_fract_x
_atom_site_fract_y
_atom_site_fract_z
_atom_site_occupancy
Li1 0.000 0.000 0.000 1
La1 0.000 0.500 0.000 1
Hg1 0.250 0.250 0.500 1